Entry 1:
Compound: TiAlO
Source: Alexandria via LeMat-Bulk
Functional: PBE
Structure: relaxed

## Properties
- Excess energy over the best structure of this formula in the dataset: 77.0 meV/atom
- Density: 3944 kg/m³
- Volume: 153 Å³ per cell
- Energy relative to the elements, uncorrected: -1.62 eV/atom

POSCAR file:
```
TiAlO
1.0
-2.745 -4.688 0.232
1.685 -0.878 2.214
-3.867 7.892 6.073
Ti Al O
4 4 4
Cartesian
-0.663 -1.358 1.889
-4.033 4.091 6.615
-3.440 3.027 3.819
-2.942 0.584 2.472
-0.823 2.266 3.447
-3.599 6.651 5.377
-1.629 4.531 4.958
-0.538 1.023 0.815
-3.011 0.991 4.608
-5.022 3.129 5.064
-1.920 -2.517 0.464
-2.246 -1.256 3.135
```

=====

Entry 2:
Compound: Ti4AlO
Source: Alexandria via LeMat-Bulk
Functional: PBE
Structure: relaxed

## Properties
- Excess energy over the best structure of this formula in the dataset: 0.0 meV/atom
- Density: 4430 kg/m³
- Volume: 176 Å³ per cell
- Energy relative to the elements, uncorrected: -1.03 eV/atom

POSCAR file:
```
Ti4AlO
1.0
-3.342 0.820 3.802
-6.431 -1.681 -1.830
-0.326 -5.482 0.896
Ti Al O
8 2 2
Cartesian
-5.610 -1.855 2.975
-4.489 -4.487 -0.106
-4.893 -1.607 0.092
-5.206 -4.735 2.776
-7.030 -3.424 0.882
-2.331 -0.319 0.884
-3.070 -2.919 1.986
-7.768 -6.023 1.985
-6.960 -5.722 -0.834
-3.139 -0.620 3.702
-5.050 -3.171 1.434
-3.216 -0.840 -0.915
```

=====

Entry 3:
Compound: Ti4AlO
Source: Alexandria via LeMat-Bulk
Functional: PBE
Structure: relaxed

## Properties
- Excess energy over the best structure of this formula in the dataset: 336.2 meV/atom
- Density: 3962 kg/m³
- Volume: 197 Å³ per cell
- Energy relative to the elements, uncorrected: -0.69 eV/atom

POSCAR file:
```
Ti4AlO
1.0
4.713 0.000 0.000
0.000 6.139 -0.471
0.000 -3.011 7.024
O Ti Al
2 8 2
Cartesian
2.356 3.069 -0.235
0.000 0.000 0.000
3.529 -1.537 6.044
1.003 -0.014 5.253
1.353 3.055 5.018
3.709 3.142 1.300
3.360 0.072 1.535
1.173 1.595 0.745
1.184 4.664 0.509
3.540 1.532 5.809
0.000 1.564 3.277
2.356 -1.506 3.512
```

=====

Entry 4:
Compound: TiAl2O
Source: Alexandria via LeMat-Bulk
Functional: PBE
Structure: relaxed

## Properties
- Density: 3100 kg/m³
- Volume: 126 Å³ per cell
- Energy relative to the elements, uncorrected: -0.67 eV/atom

POSCAR file:
```
TiAl2O
1.0
-3.236 4.681 1.140
-1.378 0.416 -5.622
-5.288 0.350 -1.673
Ti Al O
2 4 2
Cartesian
-5.416 3.790 -1.388
0.000 0.000 0.000
-5.856 2.222 -3.588
-3.141 2.522 -0.541
-7.844 4.674 -4.525
-2.963 1.475 -3.658
-4.487 1.657 -4.769
-2.307 2.549 -2.241
```